Material: PuTh2Co
Method: DFT, PBE
State: optimized geometry

## Properties
**Theoretical density**: 10.9 g cm⁻³
**Space-group type**: No. 166
**Formation energy from the elements**: 0.21 eV per atom

a = 10.0807 Å, b = 10.0807 Å, c = 10.0807 Å
α = 21.11°, β = 21.11°, γ = 21.11°
Positions (direct):
Pu1 0.0000 0.0000 0.0000
Th1 0.1108 0.1108 0.1108
Th2 0.8892 0.8892 0.8892
Co1 0.5000 0.5000 0.5000